Below is an optimized crystal structure of KSi2AsO6, with properties calculated at the PBE level.

Crystal system ... monoclinic
Symmetry ... C2/c, No. 15
Final energy ... -6.7984 eV per atom
Formation energy (no corrections) ... -2164.2 meV/atom

Geometry as POSCAR:
```
KSi2AsO6
1.0
5.3024 -4.9334 0.0000
5.3024 4.9334 0.0000
-1.5720 0.0000 5.2909
K Si As O
2 4 2 12
direct
0.0984 0.9016 0.7500
0.9016 0.0984 0.2500
0.1618 0.3525 0.7979
0.3525 0.1618 0.2979
0.6475 0.8382 0.7021
0.8382 0.6475 0.2021
0.3030 0.6970 0.2500
0.6970 0.3030 0.7500
0.0601 0.7164 0.3069
0.1869 0.5763 0.8742
0.2507 0.2538 0.0473
0.2538 0.2507 0.5473
0.2836 0.9399 0.1931
0.4237 0.8131 0.6258
0.5763 0.1869 0.3742
0.7164 0.0601 0.8069
0.7462 0.7493 0.4527
0.7493 0.7462 0.9527
0.8131 0.4237 0.1258
0.9399 0.2836 0.6931
```